No. 1
Compound: Sr4Pa3ZnN8
Source: the Alexandria database
Functional: PBE
Structure: relaxed

The calculation puts the density of states at the Fermi level at 0.3128 states/eV per atom.

It has space group R-3m (No. 166, hexagonal axes), with a = 7.1439 Å, b = 7.1439 Å, c = 17.9408 Å, α = 90.00°, β = 90.00° and γ = 120.00°. Symmetry generates all atoms from Sr at (0.0000, 0.0000, 0.0000), Sr at (0.0000, 0.5000, 0.0000), Pa at (0.0000, 0.5000, 0.5000), Zn at (0.0000, 0.0000, 0.5000), N at (0.0000, 0.0000, 0.2330) and N at (0.0236, 0.5118, 0.7659).


No. 2
Compound: Mg2H3Ir5
Source: the Alexandria database
Functional: PBE
Structure: relaxed

The calculation puts the density of states at the Fermi level at 0.4213 states/eV per atom.

It has space group P1 (No. 1), with a = 5.286 Å, b = 5.286 Å, c = 5.699 Å, α = 62.40°, β = 62.38° and γ = 90.00°. Symmetry generates all atoms from Mg at (0.000, 0.000, 0.000), Mg at (0.488, 0.488, 0.022), H at (0.113, 0.613, 0.771), H at (0.744, 0.744, 0.511), H at (0.874, 0.374, 0.251), Ir at (0.043, 0.928, 0.535), Ir at (0.421, 0.537, 0.535), Ir at (0.494, 0.994, 0.011), Ir at (0.560, 0.067, 0.488) and Ir at (0.951, 0.444, 0.488).


Number 1: E_tot -362.38 eV per cell, spin magnetization 0.0 μB/f.u.. Number 2: E_tot -58.53 eV per cell, spin magnetization 0.0 μB/f.u..